An optimized crystal structure of TmHfNO. Source: OQMD, functional GGA-PBE.

Properties
distance to the lowest polymorph of the same formula	0.282	eV per atom
magnetic moment	0.0	μB per formula unit

Structure (CIF):
```
data_TmHfNO
_symmetry_space_group_name_H-M 'P 1'
_symmetry_Int_Tables_number 1
_cell_length_a 4.416
_cell_length_b 4.416
_cell_length_c 5.868
_cell_angle_alpha 90.00
_cell_angle_beta 90.00
_cell_angle_gamma 90.00
loop_
_symmetry_equiv_pos_as_xyz
'x,y,z'
loop_
_atom_site_label
_atom_site_fract_x
_atom_site_fract_y
_atom_site_fract_z
O1 0.000 0.000 0.000
O2 0.500 0.500 0.000
N1 0.500 0.000 0.617
N2 0.000 0.500 0.383
Tm1 0.500 0.500 0.500
Tm2 0.000 0.000 0.500
Hf1 0.500 0.000 0.959
Hf2 0.000 0.500 0.041
```